(1)
# PuMg3Tl2 | Alexandria via LeMat-Bulk | PBE-GGA | relaxed
# Electronic total energy in eV/atom: -3.9340
# V in Å³ per atom: 26.34
# ΔH_f (0 K) in eV per atom: 0.04
# Spin magnetization in μB/f.u.: 6.0
data_PuMg3Tl2
_symmetry_space_group_name_H-M 'C 1 2/m 1'
_symmetry_Int_Tables_number 12
_cell_length_a 20.982
_cell_length_b 3.296
_cell_length_c 10.360
_cell_angle_alpha 90.00
_cell_angle_beta 118.04
_cell_angle_gamma 90.00
loop_
_symmetry_equiv_pos_as_xyz
'x,y,z'
'-x,-y,-z'
'-x,y,-z'
'x,-y,z'
'x+1/2,y+1/2,z'
'-x+1/2,-y+1/2,-z'
'-x+1/2,y+1/2,-z'
'x+1/2,-y+1/2,z'
loop_
_atom_site_label
_atom_site_type_symbol
_atom_site_fract_x
_atom_site_fract_y
_atom_site_fract_z
_atom_site_occupancy
Pu1 Pu 0.130 0.000 0.071 1
Mg1 Mg 0.059 0.000 0.454 1
Mg2 Mg 0.097 0.500 0.743 1
Mg3 Mg 0.178 0.500 0.415 1
Tl1 Tl 0.021 0.500 0.174 1
Tl2 Tl 0.216 0.000 0.725 1

(2)
# Tb2Sm5Tm3 | Alexandria via LeMat-Bulk | PBE-GGA | relaxed
# Electronic total energy in eV/atom: -4.2352
# V in Å³ per atom: 34.57
# ΔH_f (0 K) in eV per atom: 0.39
# Energy above the lowest structure with this stoichiometry in meV/atom: 198
# Spin magnetization in μB/f.u.: 0.0
data_Tb2Sm5Tm3
_symmetry_space_group_name_H-M 'I b a m'
_symmetry_Int_Tables_number 72
_symmetry_space_group_name_Hall '-I 2 2c'
_cell_length_a 9.346
_cell_length_b 21.788
_cell_length_c 6.790
_cell_angle_alpha 90.00
_cell_angle_beta 90.00
_cell_angle_gamma 90.00
loop_
_atom_site_label
_atom_site_type_symbol
_atom_site_fract_x
_atom_site_fract_y
_atom_site_fract_z
_atom_site_occupancy
Tb1 Tb 0.093 0.123 0.000 1
Sm1 Sm 0.000 0.248 0.250 1
Sm2 Sm 0.000 0.500 0.250 1
Sm3 Sm 0.097 0.375 0.500 1
Tm1 Tm 0.000 0.000 0.250 1
Tm2 Tm 0.248 0.121 0.500 1

(3)
# Np2UPaP4 | Alexandria via LeMat-Bulk | PBE-GGA | relaxed
# Electronic total energy in eV/atom: -9.5495
# V in Å³ per atom: 21.88
# ΔH_f (0 K) in eV per atom: -1.01
# Spin magnetization in μB/f.u.: 9.9
data_Np2UPaP4
_symmetry_space_group_name_H-M 'P 1 2/m 1'
_symmetry_Int_Tables_number 10
_cell_length_a 6.774
_cell_length_b 3.965
_cell_length_c 6.916
_cell_angle_alpha 90.00
_cell_angle_beta 109.56
_cell_angle_gamma 90.00
loop_
_symmetry_equiv_pos_as_xyz
'x,y,z'
'-x,-y,-z'
'-x,y,-z'
'x,-y,z'
loop_
_atom_site_label
_atom_site_type_symbol
_atom_site_fract_x
_atom_site_fract_y
_atom_site_fract_z
_atom_site_occupancy
Np1 Np 0.000 0.000 0.000 1
Np2 Np 0.000 0.500 0.500 1
U1 U 0.500 0.000 0.500 1
Pa1 Pa 0.500 0.500 0.000 1
P1 P 0.249 0.000 0.749 1
P2 P 0.250 0.500 0.251 1

(4)
# Cd3ReTe | Alexandria via LeMat-Bulk | PBE-GGA | relaxed
# Uncorrected formation energy in eV per atom: 1.619
# Electronic total energy in eV/atom: -2.0483
# V in Å³ per atom: 35.87
# Energy above the lowest structure with this stoichiometry in meV/atom: 598
# Spin magnetization in μB/f.u.: 4.3
data_Cd3ReTe
_symmetry_space_group_name_H-M 'P m -3 m'
_symmetry_Int_Tables_number 221
_symmetry_space_group_name_Hall '-P 4 2 3'
_cell_length_a 5.640
_cell_length_b 5.640
_cell_length_c 5.640
_cell_angle_alpha 90.00
_cell_angle_beta 90.00
_cell_angle_gamma 90.00
loop_
_atom_site_label
_atom_site_type_symbol
_atom_site_fract_x
_atom_site_fract_y
_atom_site_fract_z
_atom_site_occupancy
Cd1 Cd 0.000 0.000 0.500 1
Re1 Re 0.500 0.500 0.500 1
Te1 Te 0.000 0.000 0.000 1

(5)
# ZnFe2HPd | Alexandria via LeMat-Bulk | PBE-GGA | relaxed
# Electronic total energy in eV/atom: -5.3755
# V in Å³ per atom: 11.06
# Energy above the lowest structure with this stoichiometry in meV/atom: 47
# Spin magnetization in μB/f.u.: 5.1
data_ZnFe2HPd
_symmetry_space_group_name_H-M 'P 4/m m m'
_symmetry_Int_Tables_number 123
_symmetry_space_group_name_Hall '-P 4 2'
_cell_length_a 3.623
_cell_length_b 3.623
_cell_length_c 4.213
_cell_angle_alpha 90.00
_cell_angle_beta 90.00
_cell_angle_gamma 90.00
loop_
_atom_site_label
_atom_site_type_symbol
_atom_site_fract_x
_atom_site_fract_y
_atom_site_fract_z
_atom_site_occupancy
Zn1 Zn 0.000 0.000 0.000 1
Fe1 Fe 0.000 0.500 0.500 1
H1 H 0.000 0.000 0.500 1
Pd1 Pd 0.500 0.500 0.000 1

(6)
# Ho4Tl3Pd | Alexandria via LeMat-Bulk | PBE-GGA | relaxed
# Electronic total energy in eV/atom: -4.2581
# V in Å³ per atom: 26.55
# ΔH_f (0 K) in eV per atom: -0.43
# Energy above the lowest structure with this stoichiometry in meV/atom: 45
# Spin magnetization in μB/f.u.: 0.0
data_Ho4Tl3Pd
_symmetry_space_group_name_H-M 'P m m 2'
_symmetry_Int_Tables_number 25
_cell_length_a 3.816
_cell_length_b 4.824
_cell_length_c 11.540
_cell_angle_alpha 90.00
_cell_angle_beta 90.00
_cell_angle_gamma 90.00
loop_
_symmetry_equiv_pos_as_xyz
'x,y,z'
'-x,-y,z'
'-x,y,z'
'x,-y,z'
loop_
_atom_site_label
_atom_site_type_symbol
_atom_site_fract_x
_atom_site_fract_y
_atom_site_fract_z
_atom_site_occupancy
Ho1 Ho 0.000 0.000 0.000 1
Ho2 Ho 0.000 0.500 0.258 1
Ho3 Ho 0.500 0.000 0.450 1
Ho4 Ho 0.500 0.500 0.770 1
Tl1 Tl 0.000 0.000 0.710 1
Tl2 Tl 0.000 0.500 0.529 1
Tl3 Tl 0.500 0.500 0.035 1
Pd1 Pd 0.500 0.000 0.202 1

(7)
# RbNa2Au | Alexandria via LeMat-Bulk | PBE-GGA | relaxed
# Electronic total energy in eV/atom: -1.7917
# V in Å³ per atom: 37.29
# ΔH_f (0 K) in eV per atom: -0.07
# Energy above the lowest structure with this stoichiometry in meV/atom: 114
# Spin magnetization in μB/f.u.: 0.0
data_RbNa2Au
_symmetry_space_group_name_H-M 'P 4/m m m'
_symmetry_Int_Tables_number 123
_symmetry_space_group_name_Hall '-P 4 2'
_cell_length_a 3.938
_cell_length_b 3.938
_cell_length_c 9.617
_cell_angle_alpha 90.00
_cell_angle_beta 90.00
_cell_angle_gamma 90.00
loop_
_atom_site_label
_atom_site_type_symbol
_atom_site_fract_x
_atom_site_fract_y
_atom_site_fract_z
_atom_site_occupancy
Rb1 Rb 0.000 0.000 0.000 1
Na1 Na 0.500 0.500 0.346 1
Au1 Au 0.000 0.000 0.500 1

(8)
# Sm4Y5Ho2 | Alexandria via LeMat-Bulk | PBE-GGA | relaxed
# Electronic total energy in eV/atom: -5.3860
# V in Å³ per atom: 33.43
# ΔH_f (0 K) in eV per atom: 0.10
# Energy above the lowest structure with this stoichiometry in meV/atom: 0
# Spin magnetization in μB/f.u.: 0.0
data_Sm4Y5Ho2
_symmetry_space_group_name_H-M 'C 1 2/m 1'
_symmetry_Int_Tables_number 12
_cell_length_a 24.080
_cell_length_b 3.550
_cell_length_c 8.632
_cell_angle_alpha 90.00
_cell_angle_beta 94.69
_cell_angle_gamma 90.00
loop_
_symmetry_equiv_pos_as_xyz
'x,y,z'
'-x,-y,-z'
'-x,y,-z'
'x,-y,z'
'x+1/2,y+1/2,z'
'-x+1/2,-y+1/2,-z'
'-x+1/2,y+1/2,-z'
'x+1/2,-y+1/2,z'
loop_
_atom_site_label
_atom_site_type_symbol
_atom_site_fract_x
_atom_site_fract_y
_atom_site_fract_z
_atom_site_occupancy
Sm1 Sm 0.039 0.000 0.344 1
Sm2 Sm 0.224 0.500 0.827 1
Y1 Y 0.000 0.500 0.000 1
Y2 Y 0.130 0.000 0.047 1
Y3 Y 0.185 0.000 0.474 1
Ho1 Ho 0.088 0.500 0.695 1

(9)
# Pm4VGe5 | Alexandria via LeMat-Bulk | PBE-GGA | relaxed
# Electronic total energy in eV/atom: -5.6003
# V in Å³ per atom: 24.68
# ΔH_f (0 K) in eV per atom: -0.48
# Spin magnetization in μB/f.u.: 0.0
data_Pm4VGe5
_symmetry_space_group_name_H-M 'I 4'
_symmetry_Int_Tables_number 79
_cell_length_a 9.132
_cell_length_b 9.132
_cell_length_c 5.919
_cell_angle_alpha 90.00
_cell_angle_beta 90.00
_cell_angle_gamma 90.00
loop_
_symmetry_equiv_pos_as_xyz
'x,y,z'
'-y,x,z'
'-x,-y,z'
'y,-x,z'
'x+1/2,y+1/2,z+1/2'
'-y+1/2,x+1/2,z+1/2'
'-x+1/2,-y+1/2,z+1/2'
'y+1/2,-x+1/2,z+1/2'
loop_
_atom_site_label
_atom_site_type_symbol
_atom_site_fract_x
_atom_site_fract_y
_atom_site_fract_z
_atom_site_occupancy
Pm1 Pm 0.088 0.303 0.000 1
V1 V 0.000 0.000 0.482 1
Ge1 Ge 0.000 0.000 0.044 1
Ge2 Ge 0.093 0.267 0.500 1

(10)
# Nd3Sn4Ge2 | Alexandria via LeMat-Bulk | PBE-GGA | relaxed
# Electronic total energy in eV/atom: -4.9077
# V in Å³ per atom: 26.84
# ΔH_f (0 K) in eV per atom: -0.51
# Spin magnetization in μB/f.u.: 0.0
data_Nd3Sn4Ge2
_symmetry_space_group_name_H-M 'P -6 2 m'
_symmetry_Int_Tables_number 189
_symmetry_space_group_name_Hall 'P -6 -2'
_cell_length_a 8.0814
_cell_length_b 8.0814
_cell_length_c 4.2715
_cell_angle_alpha 90.00
_cell_angle_beta 90.00
_cell_angle_gamma 120.00
loop_
_atom_site_label
_atom_site_type_symbol
_atom_site_fract_x
_atom_site_fract_y
_atom_site_fract_z
_atom_site_occupancy
Nd1 Nd 0.0000 0.6054 0.0000 1
Sn1 Sn 0.0000 0.0000 0.0000 1
Sn2 Sn 0.0000 0.2841 0.5000 1
Ge1 Ge 0.3333 0.6667 0.5000 1

(11)
# ZnFePS2 | Alexandria via LeMat-Bulk | PBE-GGA | relaxed
# Uncorrected formation energy in eV per atom: 0.432
# Electronic total energy in eV/atom: -4.2483
# V in Å³ per atom: 17.87
# Energy above the lowest structure with this stoichiometry in meV/atom: 0
# Spin magnetization in μB/f.u.: 1.5
data_ZnFePS2
_symmetry_space_group_name_H-M 'P 4/m m m'
_symmetry_Int_Tables_number 123
_symmetry_space_group_name_Hall '-P 4 2'
_cell_length_a 4.611
_cell_length_b 4.611
_cell_length_c 4.202
_cell_angle_alpha 90.00
_cell_angle_beta 90.00
_cell_angle_gamma 90.00
loop_
_atom_site_label
_atom_site_type_symbol
_atom_site_fract_x
_atom_site_fract_y
_atom_site_fract_z
_atom_site_occupancy
Zn1 Zn 0.000 0.000 0.000 1
Fe1 Fe 0.500 0.500 0.500 1
P1 P 0.500 0.500 0.000 1
S1 S 0.000 0.500 0.500 1

(12)
# Ce2ThAu2 | Alexandria via LeMat-Bulk | PBE-GGA | relaxed
# Electronic total energy in eV/atom: -5.6154
# V in Å³ per atom: 26.04
# ΔH_f (0 K) in eV per atom: -0.45
# Energy above the lowest structure with this stoichiometry in meV/atom: 11
# Spin magnetization in μB/f.u.: 0.0
data_Ce2ThAu2
_symmetry_space_group_name_H-M 'R -3 m'
_symmetry_Int_Tables_number 166
_symmetry_space_group_name_Hall '-R 3 2"'
_cell_length_a 4.7241
_cell_length_b 4.7241
_cell_length_c 20.2124
_cell_angle_alpha 90.00
_cell_angle_beta 90.00
_cell_angle_gamma 120.00
loop_
_atom_site_label
_atom_site_type_symbol
_atom_site_fract_x
_atom_site_fract_y
_atom_site_fract_z
_atom_site_occupancy
Ce1 Ce 0.0000 0.0000 0.1961 1
Th1 Th 0.0000 0.0000 0.0000 1
Au1 Au 0.0000 0.0000 0.4147 1

Repeat the eleventh record exactly.
# ZnFePS2 | Alexandria via LeMat-Bulk | PBE-GGA | relaxed
# Uncorrected formation energy in eV per atom: 0.432
# Electronic total energy in eV/atom: -4.2483
# V in Å³ per atom: 17.87
# Energy above the lowest structure with this stoichiometry in meV/atom: 0
# Spin magnetization in μB/f.u.: 1.5
data_ZnFePS2
_symmetry_space_group_name_H-M 'P 4/m m m'
_symmetry_Int_Tables_number 123
_symmetry_space_group_name_Hall '-P 4 2'
_cell_length_a 4.611
_cell_length_b 4.611
_cell_length_c 4.202
_cell_angle_alpha 90.00
_cell_angle_beta 90.00
_cell_angle_gamma 90.00
loop_
_atom_site_label
_atom_site_type_symbol
_atom_site_fract_x
_atom_site_fract_y
_atom_site_fract_z
_atom_site_occupancy
Zn1 Zn 0.000 0.000 0.000 1
Fe1 Fe 0.500 0.500 0.500 1
P1 P 0.500 0.500 0.000 1
S1 S 0.000 0.500 0.500 1